[1]
Density functional theory data (PBE) for crystalline KNb2I at its relaxed geometry.

It has space group I4_1/amd (No. 141, origin choice 2), with a = 4.883 Å, b = 4.883 Å, c = 21.407 Å, α = 90.00°, β = 90.00° and γ = 90.00°. The asymmetric unit holds K at (0.000, 0.250, 0.375), Nb at (0.000, 0.000, 0.000) and I at (0.000, 0.250, 0.875).

The calculation puts the total magnetization at 0.00 μB/f.u. The offset from the most stable computed form is 0 meV/atom. The value obtained for the calculated volume is 128 Å³/f.u. The calculation puts the formation energy from raw total energies at 0.997 eV per atom.

[2]
Density functional theory data (PBE) for crystalline K2NbI7 at its relaxed geometry.

It has space group C2/c (No. 15), with a = 17.743 Å, b = 8.918 Å, c = 13.954 Å, α = 90.00°, β = 127.87° and γ = 90.00°. The asymmetric unit holds K at (0.131, 0.220, 0.048), Nb at (0.000, 0.305, 0.250), I at (0.000, 0.358, 0.750), I at (0.090, 0.336, 0.493), I at (0.096, 0.042, 0.243) and I at (0.185, 0.414, 0.310).

The calculation puts the total magnetization at 0.14 μB/f.u. The value obtained for the calculated volume is 436 Å³/f.u. The calculation puts the formation energy from raw total energies at -0.714 eV per atom.

[3]
Density functional theory data (PBE) for crystalline KNbI3 at its relaxed geometry.

It has space group Pm-3m (No. 221), with a = 6.231 Å, b = 6.231 Å, c = 6.231 Å, α = 90.00°, β = 90.00° and γ = 90.00°. The asymmetric unit holds K at (0.000, 0.000, 0.000), Nb at (0.500, 0.500, 0.500) and I at (0.000, 0.000, 0.500).

The calculation puts the total magnetization at 3.00 μB/f.u. The offset from the most stable computed form is 1167 meV/atom. The value obtained for the calculated volume is 242 Å³/f.u. The calculation puts the formation energy from raw total energies at 0.669 eV per atom.

[4]
Density functional theory data (PBE) for crystalline KNb3I at its relaxed geometry.

It has space group Pm-3m (No. 221), with a = 5.200 Å, b = 5.200 Å, c = 5.200 Å, α = 90.00°, β = 90.00° and γ = 90.00°. The asymmetric unit holds K at (0.000, 0.000, 0.000), Nb at (0.000, 0.500, 0.500) and I at (0.500, 0.500, 0.500).

The calculation puts the total magnetization at 2.88 μB/f.u. The offset from the most stable computed form is 0 meV/atom. The value obtained for the calculated volume is 141 Å³/f.u. The calculation puts the formation energy from raw total energies at 1.754 eV per atom.

[5]
Density functional theory data (PBE) for crystalline KNbI3 at its relaxed geometry.

It has space group Pm-3m (No. 221), with a = 5.851 Å, b = 5.851 Å, c = 5.851 Å, α = 90.00°, β = 90.00° and γ = 90.00°. The asymmetric unit holds K at (0.000, 0.000, 0.000), Nb at (0.500, 0.500, 0.500) and I at (0.000, 0.500, 0.500).

The calculation puts the total magnetization at 3.00 μB/f.u. The offset from the most stable computed form is 0 meV/atom. The value obtained for the calculated volume is 200 Å³/f.u. The calculation puts the formation energy from raw total energies at -0.499 eV per atom.

[6]
Density functional theory data (PBE) for crystalline KNb4I7 at its relaxed geometry.

It has space group Pmn2_1 (No. 31), with a = 18.832 Å, b = 10.211 Å, c = 5.293 Å, α = 90.00°, β = 90.00° and γ = 90.00°. The asymmetric unit holds K at (0.000, 0.191, 0.000), Nb at (0.158, 0.583, 0.636), Nb at (0.231, 0.393, 0.526), I at (0.000, 0.613, 0.644), I at (0.121, 0.187, 0.504), I at (0.131, 0.490, 0.124) and I at (0.223, 0.799, 0.425).

The calculation puts the total magnetization at 0.00 μB/f.u. The value obtained for the calculated volume is 509 Å³/f.u. The calculation puts the formation energy from raw total energies at -0.243 eV per atom.

[7]
Density functional theory data (PBE) for crystalline KNbI5 at its relaxed geometry.

It has space group C2/c (No. 15), with a = 16.608 Å, b = 8.266 Å, c = 10.958 Å, α = 90.00°, β = 111.00° and γ = 90.00°. The asymmetric unit holds K at (0.000, 0.039, 0.250), Nb at (0.000, 0.500, 0.000), I at (0.000, 0.388, 0.750), I at (0.127, 0.268, 0.522) and I at (0.130, 0.274, 0.118).

The calculation puts the total magnetization at 1.00 μB/f.u. The value obtained for the calculated volume is 351 Å³/f.u. The calculation puts the formation energy from raw total energies at -0.662 eV per atom.

[8]
Density functional theory data (PBE) for crystalline K2Nb3I9 at its relaxed geometry.

It has space group C2/m (No. 12), with a = 11.491 Å, b = 19.122 Å, c = 11.159 Å, α = 90.00°, β = 114.30° and γ = 90.00°. The asymmetric unit holds K at (0.111, 0.160, 0.341), Nb at (0.114, 0.500, 0.889), Nb at (0.119, 0.421, 0.126), I at (0.000, 0.296, 0.000), I at (0.008, 0.399, 0.305), I at (0.190, 0.000, 0.675), I at (0.198, 0.199, 0.680), I at (0.200, 0.102, 0.981) and I at (0.215, 0.000, 0.277).

The calculation puts the total magnetization at 0.00 μB/f.u. The value obtained for the calculated volume is 559 Å³/f.u. The calculation puts the formation energy from raw total energies at -0.760 eV per atom.

[9]
Density functional theory data (PBE) for crystalline KNb3I at its relaxed geometry.

It has space group Pm-3m (No. 221), with a = 4.846 Å, b = 4.846 Å, c = 4.846 Å, α = 90.00°, β = 90.00° and γ = 90.00°. The asymmetric unit holds K at (0.000, 0.000, 0.000), Nb at (0.000, 0.000, 0.500) and I at (0.500, 0.500, 0.500).

The calculation puts the total magnetization at 0.00 μB/f.u. The offset from the most stable computed form is 1000 meV/atom. The value obtained for the calculated volume is 114 Å³/f.u. The calculation puts the formation energy from raw total energies at 2.754 eV per atom.

[10]
Density functional theory data (PBE) for crystalline KNbIO2 at its relaxed geometry.

It has space group P4/mmm (No. 123), with a = 4.459 Å, b = 4.459 Å, c = 5.976 Å, α = 90.00°, β = 90.00° and γ = 90.00°. The asymmetric unit holds K at (0.000, 0.000, 0.000), Nb at (0.500, 0.500, 0.500), I at (0.000, 0.000, 0.500) and O at (0.000, 0.500, 0.000).

The calculation puts the total magnetization at 1.93 μB/f.u. The offset from the most stable computed form is 2552 meV/atom. The value obtained for the calculated volume is 119 Å³/f.u. The calculation puts the formation energy from raw total energies at 1.118 eV per atom.

[11]
Density functional theory data (PBE) for crystalline KNbIO2 at its relaxed geometry.

It has space group P4/mmm (No. 123), with a = 4.191 Å, b = 4.191 Å, c = 5.909 Å, α = 90.00°, β = 90.00° and γ = 90.00°. The asymmetric unit holds K at (0.000, 0.000, 0.000), Nb at (0.500, 0.500, 0.500), I at (0.500, 0.500, 0.000) and O at (0.000, 0.500, 0.500).

The calculation puts the total magnetization at 0.93 μB/f.u. The offset from the most stable computed form is 0 meV/atom. The value obtained for the calculated volume is 104 Å³/f.u. The calculation puts the formation energy from raw total energies at -1.433 eV per atom.

[12]
Density functional theory data (PBE) for crystalline KNbI2O8 at its relaxed geometry.

It has space group C2/m (No. 12), with a = 11.913 Å, b = 5.619 Å, c = 6.198 Å, α = 90.00°, β = 111.11° and γ = 90.00°. The asymmetric unit holds K at (0.000, 0.000, 0.000), Nb at (0.000, 0.500, 0.500), I at (0.223, 0.000, 0.696), O at (0.090, 0.500, 0.296), O at (0.112, 0.243, 0.712) and O at (0.183, 0.000, 0.387).

The calculation puts the total magnetization at 0.00 μB/f.u. The value obtained for the calculated volume is 193 Å³/f.u. The calculation puts the formation energy from raw total energies at -1.085 eV per atom.

Among the records above, which one has the lowest calculated volume? number 11